(1)
A geometry-optimized PrNi3 structure, computed with PBE.

Structure (extended XYZ):
```
4
Lattice="-1.370 -3.630 -0.799 2.605 -1.545 2.554 -2.651 0.358 2.921" Properties=species:S:1:pos:R:3 pbc="T T T"
Pr 0.000 0.000 0.000
Ni 0.618 -2.587 0.877
Ni -2.011 -1.636 1.061
Ni -0.023 -0.593 2.737
```

Results
**Volume**: 15.54 Å³ per atom
**Total energy**: -21.66 eV per formula unit

(2)
A geometry-optimized La3Zr4 structure, computed with PBE.

Structure (extended XYZ):
```
14
Lattice="5.982 6.907 0.000 -2.991 8.633 0.000 0.000 0.000 5.486" Properties=species:S:1:pos:R:3 pbc="T T T"
La 2.951 12.234 0.000
La -1.145 8.673 2.743
La 2.102 3.562 2.743
La 0.148 6.867 0.000
La 2.034 10.212 2.743
La -0.108 3.345 0.000
Zr 2.201 6.828 2.743
Zr 0.000 10.360 0.000
Zr 3.027 8.415 0.000
Zr 3.162 5.320 0.000
Zr 5.774 6.985 0.000
Zr 1.958 14.031 2.743
Zr 4.813 8.493 2.743
Zr -0.997 5.180 2.743
```

Results
**Volume**: 28.33 Å³ per atom
**Total energy**: -47.84 eV per formula unit

(3)
A geometry-optimized Cs2NbTlCl6 structure, computed with PBE.

Structure (extended XYZ):
```
10
Lattice="5.897 2.181 4.657 -1.078 5.670 5.283 -0.187 -1.742 7.626" Properties=species:S:1:pos:R:3 pbc="T T T"
Cl 0.351 3.534 11.047
Cl 0.942 0.422 8.148
Cl 3.689 5.686 9.418
Cl 4.178 1.619 10.703
Cl 0.453 4.490 6.862
Cl 4.281 2.575 6.519
Cs 1.158 1.527 4.391
Cs 3.474 4.582 13.174
Nb 0.000 0.000 0.000
Tl 2.316 3.054 8.783
```

Results
**Volume**: 33.87 Å³ per atom
**Total energy**: -39.99 eV per formula unit

(4)
A geometry-optimized HfScCo2 structure, computed with PBE.

Structure (extended XYZ):
```
24
Lattice="-4.037 -1.235 1.329 2.539 -3.173 4.763 -0.798 10.832 7.642" Properties=species:S:1:pos:R:3 pbc="T T T"
Co -0.114 -2.997 4.237
Co -4.065 6.999 8.887
Co -2.795 5.412 11.269
Co -1.384 -1.411 1.855
Co -0.644 4.225 9.331
Co 0.236 4.623 5.012
Co 1.505 3.036 7.393
Co -1.652 2.199 4.403
Co -1.913 5.811 6.949
Co 0.499 1.011 2.465
Co -0.383 0.612 6.785
Co 1.769 -0.575 4.846
Hf -3.298 4.400 8.805
Hf 1.002 2.024 4.929
Hf 1.270 -1.586 2.381
Hf -2.153 1.187 1.939
Hf -2.682 8.410 7.032
Hf -2.417 4.798 4.486
Sc -1.148 3.212 6.867
Sc -0.268 3.610 2.548
Sc -4.567 5.987 6.423
Sc -1.412 6.823 9.414
Sc 0.000 0.000 0.000
Sc -0.884 -0.399 4.320
```

Results
**Volume**: 15.33 Å³ per atom
**Total energy**: -32.09 eV per formula unit

(5)
A geometry-optimized Cu2Ag3 structure, computed with PBE.

Structure (extended XYZ):
```
10
Lattice="6.232 0.000 0.000 0.000 3.954 0.000 -0.070 0.000 6.319" Properties=species:S:1:pos:R:3 pbc="T T T"
Ag 4.350 1.977 5.789
Ag 1.798 1.977 0.634
Ag 0.485 1.977 4.389
Ag 1.136 0.000 2.474
Ag 3.206 1.977 3.115
Ag 2.461 0.000 5.075
Cu 3.868 0.000 1.322
Cu 5.554 1.977 1.875
Cu 6.153 0.000 0.025
Cu 4.954 0.000 3.738
```

Results
**Volume**: 15.57 Å³ per atom
**Total energy**: -15.49 eV per formula unit

(6)
A geometry-optimized Nb4GaC2S structure, computed with PBE.

Structure (extended XYZ):
```
8
Lattice="3.235 0.000 0.000 -1.618 2.802 0.000 0.000 0.000 12.621" Properties=species:S:1:pos:R:3 pbc="T T T"
Nb 1.618 0.934 2.152
Nb 0.000 0.000 4.497
Nb 0.000 0.000 8.124
Nb 1.618 0.934 10.470
Ga 0.000 0.000 0.000
C 0.000 1.868 3.293
C 0.000 1.868 9.328
S 1.618 0.934 6.311
```

Results
**Volume**: 14.30 Å³ per atom
**Total energy**: -71.12 eV per formula unit

(7)
A geometry-optimized GdTlFeSe3 structure, computed with PBE.

Structure (extended XYZ):
```
12
Lattice="9.000 0.000 0.000 0.000 4.085 0.000 -3.006 0.000 9.346" Properties=species:S:1:pos:R:3 pbc="T T T"
Se 4.787 3.064 5.017
Se -2.124 1.021 7.868
Se 1.207 1.021 4.328
Se 2.810 1.021 7.850
Se 8.117 3.064 1.478
Se 3.184 3.064 1.496
Tl 0.256 3.064 7.018
Tl 5.738 1.021 2.328
Fe 2.612 3.064 3.863
Fe 3.382 1.021 5.483
Gd 1.139 1.021 1.363
Gd 4.855 3.064 7.982
```

Results
**Volume**: 28.63 Å³ per atom
**Total energy**: -31.51 eV per formula unit

(8)
A geometry-optimized NiH5CBr3N2 structure, computed with PBE.

Structure (extended XYZ):
```
72
Lattice="14.392 0.000 0.000 0.000 6.189 0.000 -7.197 0.000 12.465" Properties=species:S:1:pos:R:3 pbc="T T T"
H 6.440 4.642 3.272
H 10.194 1.547 5.741
H 7.831 4.642 1.383
H 1.515 1.547 0.141
H -2.998 4.642 6.725
H 7.586 4.642 9.228
H 0.755 1.547 9.193
H 4.116 4.642 3.031
H 7.583 1.547 7.214
H 4.197 4.642 1.282
H 2.456 1.547 2.291
H -0.126 1.547 0.766
H -0.989 4.642 8.189
H 9.914 1.547 7.474
H -0.387 4.642 5.251
H -2.719 4.642 4.991
H 6.111 4.642 8.283
H 8.185 1.547 4.276
H 3.080 1.547 9.435
H 0.726 1.547 12.191
H 7.322 4.642 11.700
H -0.636 1.547 11.083
H 1.085 1.547 4.183
H -0.390 1.547 3.238
H 6.470 4.642 0.274
H 5.681 4.642 12.324
H 2.999 1.547 11.184
H 6.630 1.547 5.080
H 4.740 4.642 10.175
H 0.566 4.642 7.385
Ni 3.598 3.095 6.233
Ni 10.794 6.173 2.078
Ni 3.598 0.000 6.233
Ni -3.599 3.078 10.388
Ni -3.599 0.016 10.388
Ni 10.794 3.111 2.078
Br 2.346 4.642 4.654
Br 4.341 1.547 4.355
Br -4.748 4.642 12.048
Br 10.034 4.642 0.186
Br -2.838 1.547 12.279
Br 4.850 1.547 7.812
Br 11.944 1.547 0.417
Br 2.854 4.642 8.110
Br 5.592 4.642 5.939
Br -4.462 4.642 8.562
Br 1.604 1.547 6.526
Br -2.340 1.547 8.783
Br 12.813 4.642 2.365
Br 9.536 4.642 3.682
Br -1.586 4.642 10.553
Br -5.617 1.547 10.101
Br 8.782 1.547 1.912
Br 11.657 1.547 3.903
C 8.231 1.547 6.335
C -1.035 4.642 6.131
C 5.825 4.642 10.297
C 1.370 1.547 2.169
C 1.193 1.547 10.194
C 6.003 4.642 2.271
N 7.654 1.547 5.156
N 0.378 1.547 11.222
N 6.558 4.642 9.207
N 2.502 1.547 10.284
N 0.888 1.547 0.949
N -0.458 4.642 7.310
N 0.638 1.547 3.258
N -2.333 4.642 5.939
N 9.528 1.547 6.527
N 6.308 4.642 11.516
N 4.693 4.642 2.182
N 6.818 4.642 1.244
```

Results
**Volume**: 15.42 Å³ per atom
**Total energy**: -57.69 eV per formula unit